## TiFeO4 (PBE+U)

Data for a geometry-optimized TiFeO4 structure.

Values from the calculation:
* calculated volume: 11.67 Å³ per atom
* D(E_F): 1.06 states/eV/f.u.
* symmetry: I-4m2 (119)
* energy: -45.29 eV/f.u.

Cell lengths 5.522, 5.522, 5.522 Å; angles 139.61, 139.61, 58.44 degrees
Sites, in units of the cell vectors:
1 Ti 0.000 0.000 0.000
2 Fe 0.250 0.750 0.500
3 O 0.045 0.545 0.500
4 O 0.207 0.207 0.000
5 O 0.455 0.955 0.500
6 O 0.793 0.793 0.000